! ThZnH8Rh2, relaxed, DFT PBE; values from VASP
! DFT total energy in eV per atom: -4.301
! Magnetic moment in μB/f.u.: 0.00
&SYSTEM
  ibrav = 0, nat = 12, ntyp = 4
/
ATOMIC_SPECIES
Th 232.04 Th.upf
Zn 65.41 Zn.upf
H 1.01 H.upf
Rh 102.91 Rh.upf
ATOMIC_POSITIONS angstrom
Th 0.000 0.000 0.000
Zn 0.000 0.000 8.522
H -0.659 -1.373 7.473
H -1.518 -0.115 9.572
H 0.000 0.000 5.483
H -0.859 1.257 7.473
H 0.859 -1.257 9.572
H 0.000 0.000 11.562
H 1.518 0.115 7.473
H 0.659 1.373 9.572
Rh 0.000 0.000 3.846
Rh 0.000 0.000 13.199
CELL_PARAMETERS angstrom
2.342 1.352 5.682
-2.342 1.352 5.682
0.000 -2.704 5.682